(1)
Computed, not measured: BiPd4Au7 after structural relaxation at the PBE-GGA level of DFT. Values from VASP.

Structure (Quantum ESPRESSO input):
```
&SYSTEM
  ibrav = 0, nat = 12, ntyp = 3
/
ATOMIC_SPECIES
Au 196.97 Au.upf
Pd 106.42 Pd.upf
Bi 208.98 Bi.upf
CELL_PARAMETERS angstrom
5.169 0.000 0.000
2.585 8.555 -0.318
2.585 0.074 5.295
ATOMIC_POSITIONS angstrom
Au 2.585 0.775 2.614
Au 2.585 5.316 1.394
Au 7.754 7.853 2.362
Au 5.169 4.768 3.903
Pd 5.169 2.034 3.149
Pd 2.585 2.713 0.613
Pd 7.754 5.916 4.364
Au 7.754 3.313 3.583
Bi 0.000 0.000 0.000
Au 5.169 3.860 1.073
Pd 5.169 6.594 1.828
Au 2.585 0.000 0.000
```

- symmetry = C2/m (12)
- formation energy from the elements (eV/atom) = 0.128

(2)
Computed, not measured: Bi3Pd8Au2 after structural relaxation at the PBE-GGA level of DFT. Values from VASP.

Structure (Quantum ESPRESSO input):
```
&SYSTEM
  ibrav = 0, nat = 13, ntyp = 3
/
ATOMIC_SPECIES
Bi 208.98 Bi.upf
Au 196.97 Au.upf
Pd 106.42 Pd.upf
CELL_PARAMETERS angstrom
-5.159 -0.687 1.178
-2.344 -4.704 -0.922
0.085 -4.947 9.577
ATOMIC_POSITIONS angstrom
Bi -1.380 -3.162 4.198
Au -2.644 -6.466 8.825
Pd -3.148 -7.217 6.179
Bi -6.037 -7.176 5.634
Pd -2.059 -2.335 1.707
Au -4.774 -3.872 1.007
Pd -5.448 -5.484 3.189
Pd -4.270 -3.121 3.653
Pd -2.855 -5.139 2.598
Pd -4.562 -5.198 7.235
Pd -5.359 -8.003 8.126
Bi 0.000 0.000 0.000
Pd -1.970 -4.853 6.643
```

- symmetry = R-3m (166)
- formation energy from the elements (eV/atom) = -0.016